BaCu3Rh4O12: optimized geometry, PBE.

Computed properties:
Energy relative to the elements, uncorrected, meV/atom: -867.5
Size of the total moment, μB per cell: 1.610
SG: No. 204
Density, g/cm3: 7.1

a = 6.5670 Å, b = 6.5670 Å, c = 6.5670 Å
α = 109.47°, β = 109.47°, γ = 109.47°
Closest atoms and distances in Å follow each position.
Fractional positions:
Ba: 0.0000 0.0000 0.0000  12 O 2.75
Cu: 0.0000 0.5000 0.5000  4 O 1.91
Cu: 0.5000 0.5000 0.0000  4 O 1.91
Cu: 0.5000 0.0000 0.5000  4 O 1.91
Rh: 0.5000 0.0000 0.0000  6 O 2.05
Rh: 0.5000 0.5000 0.5000  6 O 2.05
Rh: 0.0000 0.5000 0.0000  6 O 2.05
Rh: 0.0000 0.0000 0.5000  6 O 2.05
O: 0.3187 0.8259 0.1446  1 Cu 1.91, 2 Rh 2.05
O: 0.6813 0.1741 0.8554  1 Cu 1.91, 2 Rh 2.05
O: 0.6813 0.8259 0.5072  1 Cu 1.91, 2 Rh 2.05
O: 0.8554 0.6813 0.1741  1 Cu 1.91, 2 Rh 2.05
O: 0.8259 0.1446 0.3187  1 Cu 1.91, 2 Rh 2.05
O: 0.1741 0.4928 0.3187  1 Cu 1.91, 2 Rh 2.05
O: 0.4928 0.3187 0.1741  1 Cu 1.91, 2 Rh 2.05
O: 0.1741 0.8554 0.6813  1 Cu 1.91, 2 Rh 2.05
O: 0.3187 0.1741 0.4928  1 Cu 1.91, 2 Rh 2.05
O: 0.1446 0.3187 0.8259  1 Cu 1.91, 2 Rh 2.05
O: 0.8259 0.5072 0.6813  1 Cu 1.91, 2 Rh 2.05
O: 0.5072 0.6813 0.8259  1 Cu 1.91, 2 Rh 2.05

BaCuRh2O: optimized geometry, PBE.

Computed properties:
Energy relative to the elements, uncorrected, meV/atom: 1406.4
Size of the total moment, μB per cell: 1.624
SG: No. 123
Density, g/cm3: 5.6

a = 5.2903 Å, b = 4.4710 Å, c = 5.2903 Å
α = 90.00°, β = 90.00°, γ = 90.00°
Closest atoms and distances in Å follow each position.
Fractional positions:
O: 0.0000 0.5000 0.0000  2 Ba 2.24
Rh: 0.0000 0.0000 0.5000  2 Ba 2.65
Rh: 0.5000 0.0000 0.0000  2 Ba 2.65
Ba: 0.0000 0.0000 0.0000  2 O 2.24
Cu: 0.5000 0.5000 0.5000  8 Rh 3.46, 4 O 3.74

BaCuRu2O8: optimized geometry, PBE.

Computed properties:
Energy relative to the elements, uncorrected, meV/atom: -1072.2
Size of the total moment, μB per cell: 3.055
SG: No. 148
Density, g/cm3: 5.0

a = 5.2037 Å, b = 5.2037 Å, c = 8.0781 Å
α = 71.21°, β = 71.21°, γ = 60.00°
Closest atoms and distances in Å follow each position.
Fractional positions:
Ba: 0.5000 0.5000 0.5000  12 O 3.02-3.09
Cu: 0.0000 0.0000 0.0000  6 O 2.08
Ru: 0.2610 0.2610 0.2169  4 O 1.79-1.81
Ru: 0.7390 0.7390 0.7831  4 O 1.79-1.81
O: 0.1808 0.1808 0.4577  1 Ru 1.81
O: 0.6208 0.2657 0.1635  1 Ru 1.79
O: 0.8192 0.8192 0.5423  1 Ru 1.81
O: 0.9500 0.6208 0.1635  1 Ru 1.79
O: 0.0500 0.3792 0.8365  1 Ru 1.79
O: 0.2657 0.9500 0.1635  1 Ru 1.79
O: 0.7343 0.0500 0.8365  1 Ru 1.79
O: 0.3792 0.7343 0.8365  1 Ru 1.79

Ba4CuRu3O12: optimized geometry, PBE.

Computed properties:
Energy relative to the elements, uncorrected, meV/atom: -1649.2
Size of the total moment, μB per cell: 9.497
SG: No. 229
Density, g/cm3: 6.7

a = 7.0832 Å, b = 7.0832 Å, c = 7.0832 Å
α = 109.47°, β = 109.47°, γ = 109.47°
Closest atoms and distances in Å follow each position.
Fractional positions:
Ba: 0.5000 0.5000 0.5000  12 O 2.89
Ba: 0.0000 0.0000 0.5000  12 O 2.89
Ba: 0.5000 0.0000 0.0000  12 O 2.89
Ba: 0.0000 0.5000 0.0000  12 O 2.89
Cu: 0.0000 0.0000 0.0000  6 O 2.14
Ru: 0.5000 0.0000 0.5000  6 O 1.95-2.04
Ru: 0.5000 0.5000 0.0000  6 O 1.95-2.04
Ru: 0.0000 0.5000 0.5000  6 O 1.95-2.04
O: 0.2500 0.5000 0.7500  2 Ru 2.04
O: 0.7389 0.0000 0.7389  1 Ru 1.95, 1 Cu 2.14
O: 0.2611 0.0000 0.2611  1 Ru 1.95, 1 Cu 2.14
O: 0.7500 0.5000 0.2500  2 Ru 2.04
O: 0.7389 0.7389 0.0000  1 Ru 1.95, 1 Cu 2.14
O: 0.2611 0.2611 0.0000  1 Ru 1.95, 1 Cu 2.14
O: 0.7500 0.2500 0.5000  2 Ru 2.04
O: 0.2500 0.7500 0.5000  2 Ru 2.04
O: 0.5000 0.2500 0.7500  2 Ru 2.04
O: 0.0000 0.7389 0.7389  1 Ru 1.95, 1 Cu 2.14
O: 0.5000 0.7500 0.2500  2 Ru 2.04
O: 0.0000 0.2611 0.2611  1 Ru 1.95, 1 Cu 2.14

BaCu2Ru2O7: optimized geometry, PBE.

Computed properties:
Energy relative to the elements, uncorrected, meV/atom: -1031.4
Size of the total moment, μB per cell: 1.453
SG: No. 71
Density, g/cm3: 6.6

a = 3.8549 Å, b = 4.0266 Å, c = 9.7735 Å
α = 101.89°, β = 101.37°, γ = 90.00°
Closest atoms and distances in Å follow each position.
Fractional positions:
Ba: 0.0000 0.0000 0.0000  12 O 2.79-2.95
Cu: 0.2697 0.7698 0.5394  5 O 2.02-2.12
Cu: 0.7304 0.2302 0.4607  5 O 2.02-2.12
Ru: 0.3884 0.3884 0.7768  6 O 1.93-2.09
Ru: 0.6116 0.6116 0.2232  6 O 1.93-2.09
O: 0.3810 0.8810 0.7619  2 Ru 2.02, 1 Cu 2.08
O: 0.7224 0.7222 0.4448  4 Cu 2.02-2.12, 1 Ru 2.08
O: 0.1100 0.6100 0.2199  2 Ru 1.93
O: 0.6190 0.1189 0.2380  2 Ru 2.02, 1 Cu 2.09
O: 0.2776 0.2777 0.5552  4 Cu 2.02-2.12, 1 Ru 2.08
O: 0.8900 0.3900 0.7800  2 Ru 1.93
O: 0.5000 0.5000 0.0000  2 Ru 2.09

BaCuSO: optimized geometry, PBE.

Computed properties:
Energy relative to the elements, uncorrected, meV/atom: -1219.3
Size of the total moment, μB per cell: 0.952
SG: No. 129
Density, g/cm3: 5.1

a = 4.1381 Å, b = 4.1381 Å, c = 9.4361 Å
α = 90.00°, β = 90.00°, γ = 90.00°
Closest atoms and distances in Å follow each position.
Fractional positions:
O: 0.0000 0.0000 0.0000  4 Ba 2.54
O: 0.5000 0.5000 0.0000  4 Ba 2.54
S: 0.0000 0.5000 0.6234  4 Cu 2.37
S: 0.5000 0.0000 0.3766  4 Cu 2.37
Ba: 0.0000 0.5000 0.1568  4 O 2.54
Ba: 0.5000 0.0000 0.8432  4 O 2.54
Cu: 0.0000 0.0000 0.5000  4 S 2.37
Cu: 0.5000 0.5000 0.5000  4 S 2.37